P.
YScTl: relaxed, PBE-GGA.

## Properties
**D(E_F)**: 1.515 states/eV per atom

Geometry as CIF:
```
data_YScTl
_cell_length_a 4.456
_cell_length_b 4.456
_cell_length_c 8.188
_cell_angle_alpha 90.00
_cell_angle_beta 90.00
_cell_angle_gamma 90.00
_space_group_name_H-M_alt 'P 4/n m m'
_space_group_IT_number 129
loop_
_space_group_symop_operation_xyz
'x,y,z'
'-x,-y,-z'
'-y+1/2,x,z'
'y+1/2,-x,-z'
'-x+1/2,-y+1/2,z'
'x+1/2,y+1/2,-z'
'y,-x+1/2,z'
'-y,x+1/2,-z'
'x+1/2,-y,-z'
'-x+1/2,y,z'
'-y,-x,-z'
'y,x,z'
'-x,y+1/2,-z'
'x,-y+1/2,z'
'y+1/2,x+1/2,-z'
'-y+1/2,-x+1/2,z'
loop_
_atom_site_label
_atom_site_fract_x
_atom_site_fract_y
_atom_site_fract_z
_atom_site_occupancy
Y1 0.250 0.250 0.150 1
Sc1 0.250 0.750 0.500 1
Tl1 0.250 0.250 0.761 1
```

Q.
YScTl: relaxed, PBE-GGA.

## Properties
**D(E_F)**: 0.881 states/eV per atom

Geometry as CIF:
```
data_YScTl
_cell_length_a 3.5007
_cell_length_b 3.5007
_cell_length_c 7.8002
_cell_angle_alpha 90.00
_cell_angle_beta 90.00
_cell_angle_gamma 120.00
_space_group_name_H-M_alt 'P 3 m 1'
_space_group_IT_number 156
loop_
_space_group_symop_operation_xyz
'x,y,z'
'-y,x-y,z'
'-x+y,-x,z'
'-y,-x,z'
'-x+y,y,z'
'x,x-y,z'
loop_
_atom_site_label
_atom_site_fract_x
_atom_site_fract_y
_atom_site_fract_z
_atom_site_occupancy
Y1 0.0000 0.0000 0.0000 1
Sc1 0.6667 0.3333 0.3466 1
Tl1 0.3333 0.6667 0.6600 1
```

R.
YScTl: relaxed, PBE-GGA.

## Properties
**D(E_F)**: 0.892 states/eV per atom

Geometry as CIF:
```
data_YScTl
_cell_length_a 5.0594
_cell_length_b 5.0594
_cell_length_c 3.6679
_cell_angle_alpha 90.00
_cell_angle_beta 90.00
_cell_angle_gamma 120.00
_space_group_name_H-M_alt 'P 3 m 1'
_space_group_IT_number 156
loop_
_space_group_symop_operation_xyz
'x,y,z'
'-y,x-y,z'
'-x+y,-x,z'
'-y,-x,z'
'-x+y,y,z'
'x,x-y,z'
loop_
_atom_site_label
_atom_site_fract_x
_atom_site_fract_y
_atom_site_fract_z
_atom_site_occupancy
Y1 0.0000 0.0000 0.0000 1
Sc1 0.6667 0.3333 0.4996 1
Tl1 0.3333 0.6667 0.5020 1
```

Winner for stability: P

P.
Y2ScTl: relaxed, PBE-GGA.

## Properties
**D(E_F)**: 0.994 states/eV per atom

Geometry as CIF:
```
data_Y2ScTl
_cell_length_a 7.605
_cell_length_b 7.605
_cell_length_c 7.605
_cell_angle_alpha 90.00
_cell_angle_beta 90.00
_cell_angle_gamma 90.00
_space_group_name_H-M_alt 'F m -3 m'
_space_group_IT_number 225
_space_group_name_Hall '-F 4 2 3'
loop_
_atom_site_label
_atom_site_fract_x
_atom_site_fract_y
_atom_site_fract_z
_atom_site_occupancy
Y1 0.250 0.250 0.250 1
Sc1 0.000 0.000 0.000 1
Tl1 0.000 0.000 0.500 1
```

Q.
Y2ScTl: relaxed, PBE-GGA.

## Properties
**D(E_F)**: 1.893 states/eV per atom

Geometry as CIF:
```
data_Y2ScTl
_cell_length_a 8.578
_cell_length_b 8.578
_cell_length_c 6.434
_cell_angle_alpha 90.00
_cell_angle_beta 90.00
_cell_angle_gamma 90.00
_space_group_name_H-M_alt 'I -4 2 d'
_space_group_IT_number 122
_space_group_name_Hall 'I -4 2bw'
loop_
_atom_site_label
_atom_site_fract_x
_atom_site_fract_y
_atom_site_fract_z
_atom_site_occupancy
Y1 0.227 0.250 0.125 1
Sc1 0.000 0.000 0.500 1
Tl1 0.000 0.000 0.000 1
```

Winner for stability: P

P.
Y2ScTl2: relaxed, PBE-GGA.

## Properties
**D(E_F)**: 0.843 states/eV per atom

Geometry as CIF:
```
data_Y2ScTl2
_cell_length_a 4.580
_cell_length_b 6.652
_cell_length_c 9.215
_cell_angle_alpha 90.00
_cell_angle_beta 90.00
_cell_angle_gamma 90.00
_space_group_name_H-M_alt 'I m m m'
_space_group_IT_number 71
_space_group_name_Hall '-I 2 2'
loop_
_atom_site_label
_atom_site_fract_x
_atom_site_fract_y
_atom_site_fract_z
_atom_site_occupancy
Y1 0.000 0.000 0.198 1
Sc1 0.000 0.500 0.000 1
Tl1 0.000 0.272 0.500 1
```

Q.
Y2ScTl2: relaxed, PBE-GGA.

## Properties
**D(E_F)**: 0.885 states/eV per atom

Geometry as CIF:
```
data_Y2ScTl2
_cell_length_a 7.910
_cell_length_b 7.910
_cell_length_c 4.431
_cell_angle_alpha 90.00
_cell_angle_beta 90.00
_cell_angle_gamma 90.00
_space_group_name_H-M_alt 'P 4/m b m'
_space_group_IT_number 127
_space_group_name_Hall '-P 4 2ab'
loop_
_atom_site_label
_atom_site_fract_x
_atom_site_fract_y
_atom_site_fract_z
_atom_site_occupancy
Y1 0.171 0.329 0.000 1
Sc1 0.000 0.000 0.500 1
Tl1 0.134 0.634 0.500 1
```

Winner for stability: Q

P.
YSc5Tl3: relaxed, PBE-GGA.

## Properties
**D(E_F)**: 1.143 states/eV per atom

Geometry as CIF:
```
data_YSc5Tl3
_cell_length_a 8.8520
_cell_length_b 8.8520
_cell_length_c 6.4187
_cell_angle_alpha 90.00
_cell_angle_beta 90.00
_cell_angle_gamma 120.00
_space_group_name_H-M_alt 'P 63/m c m'
_space_group_IT_number 193
_space_group_name_Hall '-P 6c 2'
loop_
_atom_site_label
_atom_site_fract_x
_atom_site_fract_y
_atom_site_fract_z
_atom_site_occupancy
Y1 0.0000 0.0000 0.0000 1
Sc1 0.0000 0.3387 0.2500 1
Sc2 0.3333 0.6667 0.0000 1
Tl1 0.0000 0.3337 0.7500 1
```

Q.
YSc5Tl3: relaxed, PBE-GGA.

## Properties
**D(E_F)**: 1.423 states/eV per atom

Geometry as CIF:
```
data_YSc5Tl3
_cell_length_a 7.950
_cell_length_b 7.950
_cell_length_c 14.486
_cell_angle_alpha 90.00
_cell_angle_beta 90.00
_cell_angle_gamma 90.00
_space_group_name_H-M_alt 'I 4/m c m'
_space_group_IT_number 140
_space_group_name_Hall '-I 4 2c'
loop_
_atom_site_label
_atom_site_fract_x
_atom_site_fract_y
_atom_site_fract_z
_atom_site_occupancy
Y1 0.000 0.500 0.250 1
Sc1 0.000 0.000 0.000 1
Sc2 0.219 0.281 0.142 1
Tl1 0.000 0.000 0.250 1
Tl2 0.121 0.379 0.500 1
```

Winner for stability: P